The following is a DFT calculation (PBE-GGA) of a relaxed Cs3Cd4F12 crystal.

```
Cs3Cd4F12
1.0
-4.500 4.500 4.500
4.500 -4.500 4.500
4.500 4.500 -4.500
Cs Cd F
3 4 12
Direct
0.000 0.500 0.500
0.500 0.000 0.500
0.500 0.500 0.000
0.000 0.000 0.500
0.000 0.500 0.000
0.500 0.000 0.000
0.500 0.500 0.500
0.000 0.256 0.744
0.000 0.744 0.256
0.256 0.000 0.744
0.256 0.256 0.513
0.256 0.513 0.256
0.256 0.744 0.000
0.487 0.744 0.744
0.513 0.256 0.256
0.744 0.000 0.256
0.744 0.256 0.000
0.744 0.487 0.744
0.744 0.744 0.487
```

Values from the calculation:
VASP energy: -72.087 eV for the cell shown
Magnetic moment: 0.0 μB per formula unit
Formation energy from raw total energies: -2.2848 eV per atom
Fermi-level density of states: 7.82 states/eV per cell